1.
# ScTaAuCl2 (PBE, optimized geometry)
# **Formation energy from raw total energies**: 1.07 eV per atom
# **Crystal system**: tetragonal
data_ScTaAuCl2
_chemical_formula_sum 'Sc1 Ta1 Au1 Cl2'
_cell_length_a 4.948
_cell_length_b 4.948
_cell_length_c 5.473
_cell_angle_alpha 90.00
_cell_angle_beta 90.00
_cell_angle_gamma 90.00
_symmetry_space_group_name_H-M 'P 4/m m m'
_symmetry_Int_Tables_number 123
_symmetry_space_group_name_Hall '-P 4 2'
loop_
_atom_site_label
_atom_site_type_symbol
_atom_site_fract_x
_atom_site_fract_y
_atom_site_fract_z
Sc1 Sc 0.000 0.000 0.000
Ta1 Ta 0.500 0.500 0.000
Au1 Au 0.000 0.000 0.500
Cl1 Cl 0.000 0.500 0.500

---

2.
# LiCrTeN2 (PBE, optimized geometry)
# **Formation energy from raw total energies**: 1.58 eV per atom
# **Crystal system**: tetragonal
# **E above lowest polymorph**: 1350.0 meV per atom
data_LiCrTeN2
_chemical_formula_sum 'Li1 Cr1 Te1 N2'
_cell_length_a 3.889
_cell_length_b 3.889
_cell_length_c 4.935
_cell_angle_alpha 90.00
_cell_angle_beta 90.00
_cell_angle_gamma 90.00
_symmetry_space_group_name_H-M 'P 4/m m m'
_symmetry_Int_Tables_number 123
_symmetry_space_group_name_Hall '-P 4 2'
loop_
_atom_site_label
_atom_site_type_symbol
_atom_site_fract_x
_atom_site_fract_y
_atom_site_fract_z
Li1 Li 0.000 0.000 0.000
Cr1 Cr 0.500 0.500 0.500
Te1 Te 0.000 0.000 0.500
N1 N 0.000 0.500 0.000

---

3.
# PmSmGaPd (PBE, optimized geometry)
# **ΔH_f (0 K)**: -0.6261 eV per atom
# **Crystal system**: cubic
# **E above lowest polymorph**: 57.2 meV per atom
data_PmSmGaPd
_chemical_formula_sum 'Pm4 Sm4 Ga4 Pd4'
_cell_length_a 7.279
_cell_length_b 7.279
_cell_length_c 7.279
_cell_angle_alpha 90.00
_cell_angle_beta 90.00
_cell_angle_gamma 90.00
_symmetry_space_group_name_H-M 'F -4 3 m'
_symmetry_Int_Tables_number 216
_symmetry_space_group_name_Hall 'F -4 2 3'
loop_
_atom_site_label
_atom_site_type_symbol
_atom_site_fract_x
_atom_site_fract_y
_atom_site_fract_z
Pm1 Pm 0.000 0.000 0.000
Sm1 Sm 0.000 0.000 0.500
Ga1 Ga 0.250 0.250 0.250
Pd1 Pd 0.250 0.250 0.750

---

4.
# PmDyY2Se6 (PBE, optimized geometry)
# **Formation energy from raw total energies**: -1.86 eV per atom
# **Crystal system**: trigonal
data_PmDyY2Se6
_chemical_formula_sum 'Pm3 Dy3 Y6 Se18'
_cell_length_a 7.2670
_cell_length_b 7.2670
_cell_length_c 19.5269
_cell_angle_alpha 90.00
_cell_angle_beta 90.00
_cell_angle_gamma 120.00
_symmetry_space_group_name_H-M 'R 3'
_symmetry_Int_Tables_number 146
_symmetry_space_group_name_Hall 'R 3'
loop_
_atom_site_label
_atom_site_type_symbol
_atom_site_fract_x
_atom_site_fract_y
_atom_site_fract_z
Pm1 Pm 0.0000 0.0000 0.0000
Dy1 Dy 0.0000 0.0000 0.4967
Y1 Y 0.0000 0.0000 0.2996
Y2 Y 0.0000 0.0000 0.8018
Se1 Se 0.0014 0.3076 0.8976
Se2 Se 0.0119 0.7060 0.3982

---

5.
# NbVRh3 (PBE, optimized geometry)
# **ΔH_f (0 K)**: -0.1104 eV per atom
# **Crystal system**: orthorhombic
# **E above lowest polymorph**: 250.2 meV per atom
data_NbVRh3
_chemical_formula_sum 'Nb4 V4 Rh12'
_cell_length_a 7.184
_cell_length_b 7.010
_cell_length_c 6.345
_cell_angle_alpha 90.00
_cell_angle_beta 90.00
_cell_angle_gamma 90.00
_symmetry_space_group_name_H-M 'P n m a'
_symmetry_Int_Tables_number 62
_symmetry_space_group_name_Hall '-P 2ac 2n'
loop_
_atom_site_label
_atom_site_type_symbol
_atom_site_fract_x
_atom_site_fract_y
_atom_site_fract_z
Nb1 Nb 0.160 0.250 0.095
V1 V 0.000 0.000 0.500
Rh1 Rh 0.111 0.750 0.249
Rh2 Rh 0.147 0.552 0.853

---

6.
# La12Er2Tm (PBE, optimized geometry)
# **ΔH_f (0 K)**: 0.3109 eV per atom
# **Crystal system**: tetragonal
data_La12Er2Tm
_chemical_formula_sum 'La24 Er4 Tm2'
_cell_length_a 6.610
_cell_length_b 6.610
_cell_length_c 25.946
_cell_angle_alpha 90.00
_cell_angle_beta 90.00
_cell_angle_gamma 90.00
_symmetry_space_group_name_H-M 'P 4/n b m'
_symmetry_Int_Tables_number 125
loop_
_symmetry_equiv_pos_as_xyz
'x,y,z'
'-x,-y,-z'
'-y+1/2,x,z'
'y+1/2,-x,-z'
'-x+1/2,-y+1/2,z'
'x+1/2,y+1/2,-z'
'y,-x+1/2,z'
'-y,x+1/2,-z'
'x,-y+1/2,-z'
'-x,y+1/2,z'
'-y+1/2,-x+1/2,-z'
'y+1/2,x+1/2,z'
'-x+1/2,y,-z'
'x+1/2,-y,z'
'y,x,-z'
'-y,-x,z'
loop_
_atom_site_label
_atom_site_type_symbol
_atom_site_fract_x
_atom_site_fract_y
_atom_site_fract_z
La1 La 0.071 0.571 0.112
La2 La 0.082 0.582 0.438
La3 La 0.250 0.250 0.215
La4 La 0.250 0.250 0.336
Er1 Er 0.250 0.750 0.272
Tm1 Tm 0.250 0.750 0.000

---

Repeat the fifth record exactly.
# NbVRh3 (PBE, optimized geometry)
# **ΔH_f (0 K)**: -0.1104 eV per atom
# **Crystal system**: orthorhombic
# **E above lowest polymorph**: 250.2 meV per atom
data_NbVRh3
_chemical_formula_sum 'Nb4 V4 Rh12'
_cell_length_a 7.184
_cell_length_b 7.010
_cell_length_c 6.345
_cell_angle_alpha 90.00
_cell_angle_beta 90.00
_cell_angle_gamma 90.00
_symmetry_space_group_name_H-M 'P n m a'
_symmetry_Int_Tables_number 62
_symmetry_space_group_name_Hall '-P 2ac 2n'
loop_
_atom_site_label
_atom_site_type_symbol
_atom_site_fract_x
_atom_site_fract_y
_atom_site_fract_z
Nb1 Nb 0.160 0.250 0.095
V1 V 0.000 0.000 0.500
Rh1 Rh 0.111 0.750 0.249
Rh2 Rh 0.147 0.552 0.853